(1)
Entry from the Alexandria database: a relaxed structure of Cd2NiSe (PBEsol).

Raw formation energy = -1.32 kcal/mol of atoms
ρ = 8.15 g cm⁻³

Cell: 13.4443 3.0660 3.7253 Å, 90.00 105.89 90.00°
Space group C2/m (No. 12)
Unique sites:
1 Cd 0.1822 0.0000 0.1817 [4 per cell]
2 Ni 0.0000 0.5000 0.0000 [2 per cell]
3 Se 0.0000 0.0000 0.5000 [2 per cell]

(2)
Entry from the Alexandria database: a relaxed structure of CdNiSnSe2 (PBEsol).

Raw formation energy = 2.08 kcal/mol of atoms
ρ = 6.85 g cm⁻³

Cell: 4.7615 4.7615 4.7849 Å, 90.00 90.00 90.00°
Space group P4/mmm (No. 123)
Unique sites:
1 Cd 0.0000 0.0000 0.0000 [1 per cell]
2 Ni 0.0000 0.0000 0.5000 [1 per cell]
3 Sn 0.5000 0.5000 0.0000 [1 per cell]
4 Se 0.0000 0.5000 0.5000 [2 per cell]

(3)
Entry from the Alexandria database: a relaxed structure of CdSiNi2 (PBEsol).

Raw formation energy = -3.13 kcal/mol of atoms
ρ = 8.27 g cm⁻³

Cell: 3.8177 4.3242 6.2704 Å, 90.00 90.00 90.00°
Space group Immm (No. 71)
Unique sites:
1 Cd 0.0000 0.0000 0.0000 [2 per cell]
2 Si 0.0000 0.0000 0.5000 [2 per cell]
3 Ni 0.0000 0.5000 0.2179 [4 per cell]

(4)
Entry from the Alexandria database: a relaxed structure of CdSiNi6 (PBEsol).

Raw formation energy = -4.05 kcal/mol of atoms
ρ = 9.00 g cm⁻³

Cell: 7.0624 10.1428 10.1565 Å, 90.00 90.00 90.00°
Space group Cmmm (No. 65)
Unique sites:
1 Cd 0.0000 0.0000 0.2491 [4 per cell]
2 Cd 0.0000 0.2408 0.5000 [4 per cell]
3 Si 0.0000 0.2406 0.0000 [4 per cell]
4 Si 0.0000 0.5000 0.2455 [4 per cell]
5 Ni 0.0000 0.0000 0.0000 [2 per cell]
6 Ni 0.0000 0.0000 0.5000 [2 per cell]
7 Ni 0.0000 0.2537 0.2353 [8 per cell]
8 Ni 0.0000 0.5000 0.0000 [2 per cell]
9 Ni 0.0000 0.5000 0.5000 [2 per cell]
10 Ni 0.2323 0.3779 0.3654 [16 per cell]
11 Ni 0.2393 0.3727 0.1178 [16 per cell]

(5)
Entry from the Alexandria database: a relaxed structure of Sr2CdNi2 (PBEsol).

Calculated formation energy = 0.13 eV per atom
ρ = 5.77 g cm⁻³

Cell: 3.4647 3.4647 19.4270 Å, 90.00 90.00 90.00°
Space group I4/mmm (No. 139)
Unique sites:
1 Sr 0.0000 0.0000 0.1269 [4 per cell]
2 Cd 0.0000 0.0000 0.5000 [2 per cell]
3 Ni 0.0000 0.5000 0.2500 [4 per cell]

(6)
Entry from the Alexandria database: a relaxed structure of Sr3CdNi (PBEsol).

Calculated formation energy = 0.01 eV per atom
ρ = 4.05 g cm⁻³

Cell: 5.6243 5.6243 5.6243 Å, 90.00 90.00 90.00°
Space group Pm-3m (No. 221)
Unique sites:
1 Sr 0.0000 0.0000 0.5000 [3 per cell]
2 Cd 0.5000 0.5000 0.5000 [1 per cell]
3 Ni 0.0000 0.0000 0.0000 [1 per cell]

(7)
Entry from the Alexandria database: a relaxed structure of SrCd2Ni (PBEsol).

Calculated formation energy = 0.27 eV per atom
ρ = 6.79 g cm⁻³

Cell: 5.7240 10.7626 3.5855 Å, 90.00 124.73 90.00°
Space group C2/m (No. 12)
Unique sites:
1 Sr 0.0000 0.0000 0.0000 [2 per cell]
2 Cd 0.2500 0.2500 0.5000 [4 per cell]
3 Ni 0.0000 0.5000 0.0000 [2 per cell]

(8)
Entry from the Alexandria database: a relaxed structure of Sr2CdNi (PBEsol).

Calculated formation energy = -0.08 eV per atom
ρ = 4.93 g cm⁻³

Cell: 4.4774 4.5220 11.5340 Å, 90.00 90.00 90.00°
Space group Amm2 (No. 38)
Unique sites:
1 Sr 0.0000 0.0000 0.0000 [2 per cell]
2 Sr 0.5000 0.0000 0.2847 [2 per cell]
3 Cd 0.5000 0.0000 0.5850 [2 per cell]
4 Ni 0.0000 0.0000 0.7001 [2 per cell]